# 1
Material: Rb2NaGeO
Method: DFT, GGA-PBE
State: relaxed

As for the volume: 250 Å³ per cell. The size of the total moment comes out at 0.42 μB per atom. For the theoretical density, the calculation gives 1.9 g cm⁻³. The energy relative to the elements, uncorrected is 1.87 eV/f.u.

The space group is P4/mmm (No. 123) and the conventional cell measures 6.7215, 6.7215 and 5.5349 Å, with angles of 90.00, 90.00 and 90.00 degrees. Symmetry generates all atoms from Rb at (0.0000, 0.5000, 0.0000), Na at (0.0000, 0.0000, 0.5000), Ge at (0.0000, 0.0000, 0.0000) and O at (0.5000, 0.5000, 0.5000).

=====

# 2
Material: Be2Sn2Bi
Method: DFT, GGA-PBE
State: relaxed

As for the relative energy among the computed polymorphs: 0.000 eV per atom. As for the volume: 213 Å³ per cell. The size of the total moment comes out at 0.00 μB per atom. For the theoretical density, the calculation gives 7.2 g cm⁻³. The value obtained for the formation enthalpy at 0 K is 355 meV per atom.

The space group is I4/mmm (No. 139) and the conventional cell measures 3.2029, 3.2029 and 20.7967 Å, with angles of 90.00, 90.00 and 90.00 degrees. Symmetry generates all atoms from Be at (0.0000, 0.5000, 0.2500), Sn at (0.0000, 0.0000, 0.1430) and Bi at (0.0000, 0.0000, 0.5000).

=====

# 3
Material: Sc2PI
Method: DFT, GGA-PBE
State: relaxed

As for the volume: 335 Å³ per cell. The size of the total moment comes out at 0.35 μB per atom. For the theoretical density, the calculation gives 4.9 g cm⁻³. The energy relative to the elements, uncorrected is -2.56 eV/f.u.

The space group is Fm-3m (No. 225) and the conventional cell measures 6.9477, 6.9477 and 6.9477 Å, with angles of 90.00, 90.00 and 90.00 degrees. Symmetry generates all atoms from Sc at (0.2500, 0.2500, 0.2500), P at (0.0000, 0.0000, 0.0000) and I at (0.0000, 0.0000, 0.5000).